DFT (PBE) results for a relaxed structure of Re2PtSe.

Computed properties:
ΔE_f (raw) in eV/atom: 0.477
Raw total energy in eV/cell: -65.02
Magnetic moment in μB per cell: 0.000
Fermi-level density of states in states/eV per atom: 0.965
Crystal system: orthorhombic

Structure (CIF):
```
data_Re2PtSe
_chemical_formula_sum 'Re4 Pt2 Se2'
_symmetry_space_group_name_H-M 'I m m 2'
_symmetry_Int_Tables_number 44
_cell_length_a 2.960
_cell_length_b 4.544
_cell_length_c 9.223
_cell_angle_alpha 90.00
_cell_angle_beta 90.00
_cell_angle_gamma 90.00
loop_
_symmetry_equiv_pos_as_xyz
'x,y,z'
'-x,-y,z'
'-x,y,z'
'x,-y,z'
'x+1/2,y+1/2,z+1/2'
'-x+1/2,-y+1/2,z+1/2'
'-x+1/2,y+1/2,z+1/2'
'x+1/2,-y+1/2,z+1/2'
loop_
_atom_site_label
_atom_site_fract_x
_atom_site_fract_y
_atom_site_fract_z
Re1 0.000 0.000 0.000
Re2 0.000 0.500 0.250
Pt1 0.000 0.500 0.781
Se1 0.000 0.000 0.528
```

=====

DFT (PBE) results for a relaxed structure of Re2PtSe5.

Computed properties:
ΔE_f (raw) in eV/atom: 0.108
Raw total energy in eV/cell: -47.49
Magnetic moment in μB per cell: 0.000
Fermi-level density of states in states/eV per atom: 0.558
Crystal system: triclinic

Structure (CIF):
```
data_Re2PtSe5
_chemical_formula_sum 'Re2 Pt1 Se5'
_symmetry_space_group_name_H-M 'P 1'
_symmetry_Int_Tables_number 1
_cell_length_a 5.549
_cell_length_b 6.536
_cell_length_c 6.670
_cell_angle_alpha 118.68
_cell_angle_beta 92.45
_cell_angle_gamma 108.51
loop_
_symmetry_equiv_pos_as_xyz
'x,y,z'
loop_
_atom_site_label
_atom_site_fract_x
_atom_site_fract_y
_atom_site_fract_z
Re1 0.000 0.000 0.000
Re2 0.416 0.800 0.449
Pt1 0.456 0.872 0.898
Se1 0.032 0.429 0.236
Se2 0.282 0.112 0.757
Se3 0.352 0.072 0.286
Se4 0.660 0.728 0.123
Se5 0.683 0.651 0.604
```

=====

DFT (PBE) results for a relaxed structure of RePt3Se.

Computed properties:
ΔE_f (raw) in eV/atom: 1.350
Energy above the lowest structure with this stoichiometry in eV/atom: 0.0592
Raw total energy in eV/cell: -27.30
Magnetic moment in μB per cell: 0.000
Fermi-level density of states in states/eV per atom: 1.095
Crystal system: cubic

Structure (CIF):
```
data_RePt3Se
_chemical_formula_sum 'Re1 Pt3 Se1'
_symmetry_space_group_name_H-M 'P m -3 m'
_symmetry_Int_Tables_number 221
_symmetry_space_group_name_Hall '-P 4 2 3'
_cell_length_a 4.832
_cell_length_b 4.832
_cell_length_c 4.832
_cell_angle_alpha 90.00
_cell_angle_beta 90.00
_cell_angle_gamma 90.00
loop_
_atom_site_label
_atom_site_fract_x
_atom_site_fract_y
_atom_site_fract_z
Re1 0.000 0.000 0.000
Pt1 0.000 0.000 0.500
Se1 0.500 0.500 0.500
```

=====

DFT (PBE) results for a relaxed structure of RePt4Se.

Computed properties:
ΔE_f (raw) in eV/atom: 0.677
Raw total energy in eV/cell: -144.13
Magnetic moment in μB per cell: 8.337
Fermi-level density of states in states/eV per atom: 0.854
Crystal system: cubic

Structure (CIF):
```
data_RePt4Se
_chemical_formula_sum 'Re4 Pt16 Se4'
_symmetry_space_group_name_H-M 'F -4 3 m'
_symmetry_Int_Tables_number 216
_symmetry_space_group_name_Hall 'F -4 2 3'
_cell_length_a 7.450
_cell_length_b 7.450
_cell_length_c 7.450
_cell_angle_alpha 90.00
_cell_angle_beta 90.00
_cell_angle_gamma 90.00
loop_
_atom_site_label
_atom_site_fract_x
_atom_site_fract_y
_atom_site_fract_z
Re1 0.000 0.000 0.000
Pt1 0.125 0.125 0.375
Se1 0.250 0.250 0.750
```

=====

DFT (PBE) results for a relaxed structure of Re2PtSe.

Computed properties:
ΔE_f (raw) in eV/atom: 0.413
Raw total energy in eV/cell: -98.31
Magnetic moment in μB per cell: 0.000
Fermi-level density of states in states/eV per atom: 1.329
Crystal system: trigonal

Structure (CIF):
```
data_Re2PtSe
_chemical_formula_sum 'Re6 Pt3 Se3'
_symmetry_space_group_name_H-M 'R -3 m'
_symmetry_Int_Tables_number 166
_symmetry_space_group_name_Hall '-R 3 2"'
_cell_length_a 2.8886
_cell_length_b 2.8886
_cell_length_c 25.5306
_cell_angle_alpha 90.00
_cell_angle_beta 90.00
_cell_angle_gamma 120.00
loop_
_atom_site_label
_atom_site_fract_x
_atom_site_fract_y
_atom_site_fract_z
Re1 0.0000 0.0000 0.2464
Pt1 0.0000 0.0000 0.0000
Se1 0.0000 0.0000 0.5000
```

=====

DFT (PBE) results for a relaxed structure of Re2PtSe.

Computed properties:
ΔE_f (raw) in eV/atom: 1.072
Raw total energy in eV/cell: -120.53
Magnetic moment in μB per cell: 0.000
Fermi-level density of states in states/eV per atom: 1.132
Crystal system: tetragonal

Structure (CIF):
```
data_Re2PtSe
_chemical_formula_sum 'Re8 Pt4 Se4'
_symmetry_space_group_name_H-M 'I -4 2 d'
_symmetry_Int_Tables_number 122
_symmetry_space_group_name_Hall 'I -4 2bw'
_cell_length_a 5.588
_cell_length_b 5.588
_cell_length_c 11.255
_cell_angle_alpha 90.00
_cell_angle_beta 90.00
_cell_angle_gamma 90.00
loop_
_atom_site_label
_atom_site_fract_x
_atom_site_fract_y
_atom_site_fract_z
Re1 0.244 0.250 0.125
Pt1 0.000 0.000 0.500
Se1 0.000 0.000 0.000
```

=====

DFT (PBE) results for a relaxed structure of Re2PtSe.

Computed properties:
ΔE_f (raw) in eV/atom: 0.458
Raw total energy in eV/cell: -32.59
Magnetic moment in μB per cell: 0.000
Fermi-level density of states in states/eV per atom: 0.791
Crystal system: tetragonal

Structure (CIF):
```
data_Re2PtSe
_chemical_formula_sum 'Re2 Pt1 Se1'
_symmetry_space_group_name_H-M 'P 4/m m m'
_symmetry_Int_Tables_number 123
_symmetry_space_group_name_Hall '-P 4 2'
_cell_length_a 3.043
_cell_length_b 3.043
_cell_length_c 6.554
_cell_angle_alpha 90.00
_cell_angle_beta 90.00
_cell_angle_gamma 90.00
loop_
_atom_site_label
_atom_site_fract_x
_atom_site_fract_y
_atom_site_fract_z
Re1 0.000 0.000 0.234
Pt1 0.500 0.500 0.500
Se1 0.500 0.500 0.000
```

=====

DFT (PBE) results for a relaxed structure of Re2PtSe.

Computed properties:
ΔE_f (raw) in eV/atom: 0.657
Raw total energy in eV/cell: -31.79
Magnetic moment in μB per cell: 0.000
Fermi-level density of states in states/eV per atom: 0.874
Crystal system: orthorhombic

Structure (CIF):
```
data_Re2PtSe
_chemical_formula_sum 'Re2 Pt1 Se1'
_symmetry_space_group_name_H-M 'P m m m'
_symmetry_Int_Tables_number 47
_cell_length_a 2.851
_cell_length_b 4.653
_cell_length_c 4.804
_cell_angle_alpha 90.00
_cell_angle_beta 90.00
_cell_angle_gamma 90.00
loop_
_symmetry_equiv_pos_as_xyz
'x,y,z'
'-x,-y,-z'
'-x,-y,z'
'x,y,-z'
'x,-y,-z'
'-x,y,z'
'-x,y,-z'
'x,-y,z'
loop_
_atom_site_label
_atom_site_fract_x
_atom_site_fract_y
_atom_site_fract_z
Re1 0.000 0.000 0.000
Re2 0.500 0.500 0.000
Pt1 0.000 0.500 0.500
Se1 0.500 0.000 0.500
```

=====

DFT (PBE) results for a relaxed structure of RePt3Se.

Computed properties:
ΔE_f (raw) in eV/atom: 1.291
Energy above the lowest structure with this stoichiometry in eV/atom: 0.0000
Raw total energy in eV/cell: -27.60
Magnetic moment in μB per cell: 4.181
Fermi-level density of states in states/eV per atom: 0.683
Crystal system: cubic

Structure (CIF):
```
data_RePt3Se
_chemical_formula_sum 'Re1 Pt3 Se1'
_symmetry_space_group_name_H-M 'P m -3 m'
_symmetry_Int_Tables_number 221
_symmetry_space_group_name_Hall '-P 4 2 3'
_cell_length_a 4.660
_cell_length_b 4.660
_cell_length_c 4.660
_cell_angle_alpha 90.00
_cell_angle_beta 90.00
_cell_angle_gamma 90.00
loop_
_atom_site_label
_atom_site_fract_x
_atom_site_fract_y
_atom_site_fract_z
Re1 0.000 0.000 0.000
Pt1 0.000 0.500 0.500
Se1 0.500 0.500 0.500
```

=====

DFT (PBE) results for a relaxed structure of Re2PtSe.

Computed properties:
ΔE_f (raw) in eV/atom: 0.378
Raw total energy in eV/cell: -65.82
Magnetic moment in μB per cell: 0.000
Fermi-level density of states in states/eV per atom: 0.809
Crystal system: orthorhombic

Structure (CIF):
```
data_Re2PtSe
_chemical_formula_sum 'Re4 Pt2 Se2'
_symmetry_space_group_name_H-M 'A m m 2'
_symmetry_Int_Tables_number 38
_cell_length_a 4.232
_cell_length_b 2.855
_cell_length_c 10.279
_cell_angle_alpha 90.00
_cell_angle_beta 90.00
_cell_angle_gamma 90.00
loop_
_symmetry_equiv_pos_as_xyz
'x,y,z'
'-x,-y,z'
'-x,y,z'
'x,-y,z'
'x,y+1/2,z+1/2'
'-x,-y+1/2,z+1/2'
'-x,y+1/2,z+1/2'
'x,-y+1/2,z+1/2'
loop_
_atom_site_label
_atom_site_fract_x
_atom_site_fract_y
_atom_site_fract_z
Re1 0.000 0.000 0.000
Re2 0.500 0.000 0.381
Pt1 0.000 0.000 0.746
Se1 0.500 0.000 0.128
```

=====

DFT (PBE) results for a relaxed structure of Re2PtSe.

Computed properties:
ΔE_f (raw) in eV/atom: 0.608
Raw total energy in eV/cell: -63.98
Magnetic moment in μB per cell: 0.000
Fermi-level density of states in states/eV per atom: 0.628
Crystal system: tetragonal

Structure (CIF):
```
data_Re2PtSe
_chemical_formula_sum 'Re4 Pt2 Se2'
_symmetry_space_group_name_H-M 'I -4 m 2'
_symmetry_Int_Tables_number 119
_symmetry_space_group_name_Hall 'I -4 -2'
_cell_length_a 4.071
_cell_length_b 4.071
_cell_length_c 7.557
_cell_angle_alpha 90.00
_cell_angle_beta 90.00
_cell_angle_gamma 90.00
loop_
_atom_site_label
_atom_site_fract_x
_atom_site_fract_y
_atom_site_fract_z
Re1 0.000 0.000 0.000
Re2 0.000 0.500 0.250
Pt1 0.000 0.000 0.500
Se1 0.000 0.500 0.750
```

=====

DFT (PBE) results for a relaxed structure of Re2PtSe.

Computed properties:
ΔE_f (raw) in eV/atom: 0.371
Raw total energy in eV/cell: -32.94
Magnetic moment in μB per cell: 0.000
Fermi-level density of states in states/eV per atom: 0.954
Crystal system: orthorhombic

Structure (CIF):
```
data_Re2PtSe
_chemical_formula_sum 'Re2 Pt1 Se1'
_symmetry_space_group_name_H-M 'P m m 2'
_symmetry_Int_Tables_number 25
_cell_length_a 2.835
_cell_length_b 3.929
_cell_length_c 5.870
_cell_angle_alpha 90.00
_cell_angle_beta 90.00
_cell_angle_gamma 90.00
loop_
_symmetry_equiv_pos_as_xyz
'x,y,z'
'-x,-y,z'
'-x,y,z'
'x,-y,z'
loop_
_atom_site_label
_atom_site_fract_x
_atom_site_fract_y
_atom_site_fract_z
Re1 0.000 0.000 0.000
Re2 0.500 0.500 0.196
Pt1 0.500 0.500 0.743
Se1 0.000 0.000 0.426
```